Entry 1
## ZrAlCd3 (PBE)

Data for a relaxed structure of ZrAlCd3.

The structure in CIF format:
```
data_ZrAlCd3
_chemical_formula_sum 'Zr1 Al1 Cd3'
_cell_length_a 4.9738
_cell_length_b 4.9738
_cell_length_c 4.9738
_cell_angle_alpha 90.00
_cell_angle_beta 90.00
_cell_angle_gamma 90.00
_symmetry_space_group_name_H-M 'P m -3 m'
_symmetry_Int_Tables_number 221
_symmetry_space_group_name_Hall '-P 4 2 3'
loop_
_atom_site_label
_atom_site_type_symbol
_atom_site_fract_x
_atom_site_fract_y
_atom_site_fract_z
Zr1 Zr 0.0000 0.0000 0.0000
Al1 Al 0.5000 0.5000 0.5000
Cd1 Cd 0.0000 0.5000 0.5000
```

=====

Entry 2
## ZrAlCd3 (PBE)

Data for a relaxed structure of ZrAlCd3.

The structure in CIF format:
```
data_ZrAlCd3
_chemical_formula_sum 'Zr1 Al1 Cd3'
_cell_length_a 5.6410
_cell_length_b 5.6410
_cell_length_c 5.6410
_cell_angle_alpha 90.00
_cell_angle_beta 90.00
_cell_angle_gamma 90.00
_symmetry_space_group_name_H-M 'P m -3 m'
_symmetry_Int_Tables_number 221
_symmetry_space_group_name_Hall '-P 4 2 3'
loop_
_atom_site_label
_atom_site_type_symbol
_atom_site_fract_x
_atom_site_fract_y
_atom_site_fract_z
Zr1 Zr 0.0000 0.0000 0.0000
Al1 Al 0.5000 0.5000 0.5000
Cd1 Cd 0.0000 0.0000 0.5000
```

=====

Order of stability, best first: entry 1, entry 2

=====

Entry 1
## ZrAl3Cd (PBE)

Data for a relaxed structure of ZrAl3Cd.

The structure in CIF format:
```
data_ZrAl3Cd
_chemical_formula_sum 'Zr1 Al3 Cd1'
_cell_length_a 5.2651
_cell_length_b 5.2651
_cell_length_c 5.2651
_cell_angle_alpha 90.00
_cell_angle_beta 90.00
_cell_angle_gamma 90.00
_symmetry_space_group_name_H-M 'P m -3 m'
_symmetry_Int_Tables_number 221
_symmetry_space_group_name_Hall '-P 4 2 3'
loop_
_atom_site_label
_atom_site_type_symbol
_atom_site_fract_x
_atom_site_fract_y
_atom_site_fract_z
Zr1 Zr 0.0000 0.0000 0.0000
Al1 Al 0.0000 0.0000 0.5000
Cd1 Cd 0.5000 0.5000 0.5000
```

=====

Entry 2
## ZrAl3Cd (PBE)

Data for a relaxed structure of ZrAl3Cd.

The structure in CIF format:
```
data_ZrAl3Cd
_chemical_formula_sum 'Zr1 Al3 Cd1'
_cell_length_a 4.9136
_cell_length_b 4.9136
_cell_length_c 4.9136
_cell_angle_alpha 90.00
_cell_angle_beta 90.00
_cell_angle_gamma 90.00
_symmetry_space_group_name_H-M 'P m -3 m'
_symmetry_Int_Tables_number 221
_symmetry_space_group_name_Hall '-P 4 2 3'
loop_
_atom_site_label
_atom_site_type_symbol
_atom_site_fract_x
_atom_site_fract_y
_atom_site_fract_z
Zr1 Zr 0.0000 0.0000 0.0000
Al1 Al 0.0000 0.5000 0.5000
Cd1 Cd 0.5000 0.5000 0.5000
```

=====

Order of stability, best first: entry 2, entry 1

=====

Entry 1
## Zr2AlCd2 (PBE)

Data for a relaxed structure of Zr2AlCd2.

The structure in CIF format:
```
data_Zr2AlCd2
_chemical_formula_sum 'Zr4 Al2 Cd4'
_cell_length_a 7.3485
_cell_length_b 7.3485
_cell_length_c 4.2933
_cell_angle_alpha 90.00
_cell_angle_beta 90.00
_cell_angle_gamma 90.00
_symmetry_space_group_name_H-M 'P 4/m b m'
_symmetry_Int_Tables_number 127
_symmetry_space_group_name_Hall '-P 4 2ab'
loop_
_atom_site_label
_atom_site_type_symbol
_atom_site_fract_x
_atom_site_fract_y
_atom_site_fract_z
Zr1 Zr 0.1470 0.3530 0.0000
Al1 Al 0.0000 0.0000 0.0000
Cd1 Cd 0.1547 0.6547 0.5000
```

=====

Entry 2
## Zr2AlCd2 (PBE)

Data for a relaxed structure of Zr2AlCd2.

The structure in CIF format:
```
data_Zr2AlCd2
_chemical_formula_sum 'Zr4 Al2 Cd4'
_cell_length_a 3.0422
_cell_length_b 22.9173
_cell_length_c 3.0412
_cell_angle_alpha 90.00
_cell_angle_beta 90.00
_cell_angle_gamma 90.00
_symmetry_space_group_name_H-M 'C m m m'
_symmetry_Int_Tables_number 65
_symmetry_space_group_name_Hall '-C 2 2'
loop_
_atom_site_label
_atom_site_type_symbol
_atom_site_fract_x
_atom_site_fract_y
_atom_site_fract_z
Zr1 Zr 0.0000 0.0878 0.0000
Al1 Al 0.0000 0.5000 0.5000
Cd1 Cd 0.0000 0.3078 0.5000
```

=====

Entry 3
## Zr2AlCd2 (PBE)

Data for a relaxed structure of Zr2AlCd2.

The structure in CIF format:
```
data_Zr2AlCd2
_chemical_formula_sum 'Zr4 Al2 Cd4'
_cell_length_a 6.9495
_cell_length_b 6.9495
_cell_length_c 4.4583
_cell_angle_alpha 90.00
_cell_angle_beta 90.00
_cell_angle_gamma 90.00
_symmetry_space_group_name_H-M 'P 4/m b m'
_symmetry_Int_Tables_number 127
_symmetry_space_group_name_Hall '-P 4 2ab'
loop_
_atom_site_label
_atom_site_type_symbol
_atom_site_fract_x
_atom_site_fract_y
_atom_site_fract_z
Zr1 Zr 0.1659 0.3341 0.0000
Al1 Al 0.0000 0.0000 0.5000
Cd1 Cd 0.1390 0.6390 0.5000
```

=====

Order of stability, best first: entry 2, entry 3, entry 1

=====

Entry 1
## Ce4Al (PBE)

Data for a relaxed structure of Ce4Al.

The structure in CIF format:
```
data_Ce4Al
_chemical_formula_sum 'Ce4 Al1'
_cell_length_a 5.6256
_cell_length_b 5.6256
_cell_length_c 5.6256
_cell_angle_alpha 90.00
_cell_angle_beta 90.00
_cell_angle_gamma 90.00
_symmetry_space_group_name_H-M 'P m -3 m'
_symmetry_Int_Tables_number 221
_symmetry_space_group_name_Hall '-P 4 2 3'
loop_
_atom_site_label
_atom_site_type_symbol
_atom_site_fract_x
_atom_site_fract_y
_atom_site_fract_z
Ce1 Ce 0.0000 0.0000 0.0000
Ce2 Ce 0.0000 0.5000 0.5000
Al1 Al 0.5000 0.5000 0.5000
```

=====

Entry 2
## Ce4Al (PBE)

Data for a relaxed structure of Ce4Al.

The structure in CIF format:
```
data_Ce4Al
_chemical_formula_sum 'Ce16 Al4'
_cell_length_a 10.8784
_cell_length_b 10.8784
_cell_length_c 5.1381
_cell_angle_alpha 90.00
_cell_angle_beta 90.00
_cell_angle_gamma 90.00
_symmetry_space_group_name_H-M 'P 4/m b m'
_symmetry_Int_Tables_number 127
_symmetry_space_group_name_Hall '-P 4 2ab'
loop_
_atom_site_label
_atom_site_type_symbol
_atom_site_fract_x
_atom_site_fract_y
_atom_site_fract_z
Ce1 Ce 0.0000 0.0000 0.2442
Ce2 Ce 0.0934 0.2245 0.5000
Ce3 Ce 0.1074 0.6074 0.5000
Al1 Al 0.0902 0.4098 0.0000
```

=====

Order of stability, best first: entry 2, entry 1

=====

Entry 1
## Ce3Al2 (PBE)

Data for a relaxed structure of Ce3Al2.

The structure in CIF format:
```
data_Ce3Al2
_chemical_formula_sum 'Ce6 Al4'
_cell_length_a 7.3354
_cell_length_b 7.3354
_cell_length_c 4.4752
_cell_angle_alpha 90.00
_cell_angle_beta 90.00
_cell_angle_gamma 90.00
_symmetry_space_group_name_H-M 'P 4/m'
_symmetry_Int_Tables_number 83
loop_
_symmetry_equiv_pos_as_xyz
'x,y,z'
'-x,-y,-z'
'-y,x,z'
'y,-x,-z'
'-x,-y,z'
'x,y,-z'
'y,-x,z'
'-y,x,-z'
loop_
_atom_site_label
_atom_site_type_symbol
_atom_site_fract_x
_atom_site_fract_y
_atom_site_fract_z
Ce1 Ce 0.0000 0.0000 0.0000
Ce2 Ce 0.0947 0.6818 0.5000
Ce3 Ce 0.5000 0.5000 0.5000
Al1 Al 0.2119 0.3985 0.0000
```

=====

Entry 2
## Ce3Al2 (PBE)

Data for a relaxed structure of Ce3Al2.

The structure in CIF format:
```
data_Ce3Al2
_chemical_formula_sum 'Ce9 Al6'
_cell_length_a 6.2892
_cell_length_b 6.2892
_cell_length_c 11.3395
_cell_angle_alpha 90.00
_cell_angle_beta 90.00
_cell_angle_gamma 120.00
_symmetry_space_group_name_H-M 'R -3 m'
_symmetry_Int_Tables_number 166
_symmetry_space_group_name_Hall '-R 3 2"'
loop_
_atom_site_label
_atom_site_type_symbol
_atom_site_fract_x
_atom_site_fract_y
_atom_site_fract_z
Ce1 Ce 0.0000 0.5000 0.0000
Al1 Al 0.0000 0.0000 0.1101
```

=====

Order of stability, best first: entry 1, entry 2

=====

Entry 1
## CeAlCl (PBE)

Data for a relaxed structure of CeAlCl.

The structure in CIF format:
```
data_CeAlCl
_chemical_formula_sum 'Ce2 Al2 Cl2'
_cell_length_a 3.7962
_cell_length_b 4.0607
_cell_length_c 9.2747
_cell_angle_alpha 90.00
_cell_angle_beta 90.00
_cell_angle_gamma 90.00
_symmetry_space_group_name_H-M 'P m m n'
_symmetry_Int_Tables_number 59
loop_
_symmetry_equiv_pos_as_xyz
'x,y,z'
'-x,-y,-z'
'-x+1/2,-y+1/2,z'
'x+1/2,y+1/2,-z'
'x+1/2,-y,-z'
'-x+1/2,y,z'
'-x,y+1/2,-z'
'x,-y+1/2,z'
loop_
_atom_site_label
_atom_site_type_symbol
_atom_site_fract_x
_atom_site_fract_y
_atom_site_fract_z
Ce1 Ce 0.2500 0.2500 0.2191
Al1 Al 0.2500 0.7500 0.4968
Cl1 Cl 0.2500 0.2500 0.8775
```

=====

Entry 2
## CeAlCl (PBE)

Data for a relaxed structure of CeAlCl.

The structure in CIF format:
```
data_CeAlCl
_chemical_formula_sum 'Ce4 Al4 Cl4'
_cell_length_a 7.4162
_cell_length_b 4.2809
_cell_length_c 10.8511
_cell_angle_alpha 90.00
_cell_angle_beta 103.33
_cell_angle_gamma 90.00
_symmetry_space_group_name_H-M 'C 1 2/m 1'
_symmetry_Int_Tables_number 12
loop_
_symmetry_equiv_pos_as_xyz
'x,y,z'
'-x,-y,-z'
'-x,y,-z'
'x,-y,z'
'x+1/2,y+1/2,z'
'-x+1/2,-y+1/2,-z'
'-x+1/2,y+1/2,-z'
'x+1/2,-y+1/2,z'
loop_
_atom_site_label
_atom_site_type_symbol
_atom_site_fract_x
_atom_site_fract_y
_atom_site_fract_z
Ce1 Ce 0.0691 0.0000 0.2044
Al1 Al 0.1594 0.5000 0.9786
Cl1 Cl 0.2143 0.0000 0.6476
```

=====

Order of stability, best first: entry 2, entry 1